KPmMnO4, optimized geometry, DFT GGA+U; space group = P2_1/m, No. 11; E_tot = -6.809 eV per atom
1.0
5.956 0.000 -0.101
0.000 5.884 0.000
-2.459 0.000 7.062
O Mn Pm K
8 2 2 2
direct
0.982 0.026 0.693 O
0.018 0.526 0.307 O
0.448 0.750 0.550 O
0.555 0.250 0.809 O
0.552 0.250 0.450 O
0.018 0.974 0.307 O
0.445 0.750 0.191 O
0.982 0.474 0.693 O
0.233 0.750 0.313 Mn
0.767 0.250 0.687 Mn
0.207 0.250 0.540 Pm
0.793 0.750 0.460 Pm
0.342 0.250 0.074 K
0.658 0.750 0.926 K